! GGA-PBE HgTeMo, optimized geometry; values from VASP
&SYSTEM
  ibrav = 0, nat = 3, ntyp = 3
/
ATOMIC_SPECIES
Hg 200.59 Hg.upf
Mo 95.94 Mo.upf
Te 127.60 Te.upf
ATOMIC_POSITIONS crystal
Hg 0.9663 0.9663 0.0000
Mo 0.3259 0.3259 0.0000
Te 0.7078 0.7078 0.0000
CELL_PARAMETERS angstrom
-2.5036 -2.9557 -5.9082
0.9298 -5.5354 -4.2901
-0.7115 3.0307 6.3418
! relative energy among the computed polymorphs	61	meV/atom
! E_form (uncorrected)	0.31	eV/atom
! symmetry	No. 107
! VASP energy	-13.4	eV for the cell shown